(1)
Pr6As3P2Se: relaxed, GGA-PBE.

Results
Energy relative to the elements, uncorrected: -1.603 eV per atom
Calculated total energy: -6.347 eV/atom
Total magnetization: 0.00 μB per cell

Lattice parameters (Å, degrees): 18.5820 4.2663 8.5473 90.00 103.14 90.00
Last column: nearest neighbours and their distance in Å.
Space group C2/m (No. 12)
One atom of each set of equivalent atoms:
Pr 0.0022 0.0000 0.2575 x4  1 P 2.97, 3 As 2.98-3.03, 2 Se 3.06
Pr 0.1693 0.5000 0.0901 x4  2 P 2.98, 3 As 3.00-3.05, 1 Se 3.06
Pr 0.1686 0.5000 0.5797 x4  3 P 2.98-3.00, 3 As 3.05
As 0.0000 0.5000 0.5000 x2  6 Pr 2.98-3.05
As 0.1651 0.0000 0.8337 x4  6 Pr 3.00-3.05
P 0.1665 0.0000 0.3327 x4  6 Pr 2.97-3.00
Se 0.0000 0.5000 0.0000 x2  6 Pr 3.06


(2)
Mg6TiSiO8: relaxed, GGA-PBE.

Results
Energy relative to the elements, uncorrected: -2.264 eV per atom
Calculated total energy: -6.174 eV/atom
E above lowest polymorph: 20 kJ/mol of formula units
Total magnetization: 1.96 μB per cell

Lattice parameters (Å, degrees): 4.3310 4.3310 8.7265 90.00 90.00 90.00
Last column: nearest neighbours and their distance in Å.
Space group P4/mmm (No. 123)
One atom of each set of equivalent atoms:
Mg 0.0000 0.0000 0.0000 x1  6 O 2.17-2.19
Mg 0.0000 0.0000 0.5000 x1  6 O 2.17-2.18
Mg 0.0000 0.5000 0.2494 x4  6 O 2.17-2.19
Ti 0.5000 0.5000 0.0000 x1  6 O 2.15-2.17
Si 0.5000 0.5000 0.5000 x1  6 O 2.17-2.21
O 0.0000 0.0000 0.2505 x2  6 Mg 2.17-2.19
O 0.0000 0.5000 0.0000 x2  4 Mg 2.17-2.18, 2 Ti 2.17
O 0.0000 0.5000 0.5000 x2  4 Mg 2.17-2.19, 2 Si 2.17
O 0.5000 0.5000 0.2466 x2  1 Ti 2.15, 4 Mg 2.17, 1 Si 2.21


(3)
ZrAlH2Rh: relaxed, GGA-PBE.

Results
Calculated total energy: -5.326 eV/atom
Total magnetization: 0.00 μB per cell

Lattice parameters (Å, degrees): 3.6808 3.6808 5.2993 90.00 90.00 90.00
Last column: nearest neighbours and their distance in Å.
Space group P4/mmm (No. 123)
One atom of each set of equivalent atoms:
Zr 0.0000 0.0000 0.0000 x1  4 H 1.84
Al 0.5000 0.5000 0.5000 x1  4 Rh 2.60
H 0.0000 0.5000 0.0000 x2  2 Zr 1.84
Rh 0.0000 0.0000 0.5000 x1  4 Al 2.60, 2 Zr 2.65


(4)
YTm4Hg5: relaxed, GGA-PBE.

Results
Energy of formation: -0.4860 eV per atom
Calculated total energy: -3.072 eV/atom
Total magnetization: 0.00 μB per cell

Lattice parameters (Å, degrees): 3.6819 3.6819 18.4626 90.00 90.00 90.00
Last column: nearest neighbours and their distance in Å.
Space group P4/mmm (No. 123)
One atom of each set of equivalent atoms:
Y 0.0000 0.0000 0.0000 x1  8 Hg 3.23
Tm 0.0000 0.0000 0.2021 x2  8 Hg 3.17-3.18
Tm 0.0000 0.0000 0.4008 x2  8 Hg 3.18-3.19
Hg 0.5000 0.5000 0.1037 x2  4 Tm 3.17, 4 Y 3.23
Hg 0.5000 0.5000 0.3013 x2  8 Tm 3.18-3.19
Hg 0.5000 0.5000 0.5000 x1  8 Tm 3.18


(5)
Nd5TlRh2: relaxed, GGA-PBE.

Results
Energy of formation: -0.5038 eV per atom
Calculated total energy: -5.617 eV/atom
Total magnetization: 0.00 μB per cell

Lattice parameters (Å, degrees): 8.0133 8.0133 14.0365 90.00 90.00 90.00
Last column: nearest neighbours and their distance in Å.
Space group I4/mcm (No. 140)
One atom of each set of equivalent atoms:
Nd 0.0000 0.0000 0.0000 x4  4 Rh 3.11
Nd 0.1619 0.3381 0.1338 x16  3 Rh 2.95-3.05
Tl 0.0000 0.0000 0.2500 x4  10 Nd 3.42-3.51
Rh 0.1369 0.3631 0.5000 x8  8 Nd 2.95-3.11, 1 Rh 3.10


(6)
K3ScRu: relaxed, GGA-PBE.

Results
Energy of formation: 2.0283 eV per atom
Calculated total energy: -1.752 eV/atom
E above lowest polymorph: 263 kJ/mol of formula units
Total magnetization: 0.60 μB per cell

Lattice parameters (Å, degrees): 6.4622 6.4622 6.4622 90.00 90.00 90.00
Last column: nearest neighbours and their distance in Å.
Space group Pm-3m (No. 221)
One atom of each set of equivalent atoms:
K 0.0000 0.0000 0.5000 x3  2 Sc 3.23
Sc 0.0000 0.0000 0.0000 x1  6 K 3.23
Ru 0.5000 0.5000 0.5000 x1  12 K 4.57